No. 1
VASP calculation (SCAN) on a crystal of Rb4WS3O14 relaxed with PBEsol.

abc: 9.688 14.051 14.469
angles: 90.00 131.65 90.00
Sites, in units of the cell vectors:
Rb (0.025, 0.226, 0.254)
Rb (0.025, 0.274, 0.754)
Rb (0.291, 0.512, 0.297)
Rb (0.291, 0.988, 0.797)
Rb (0.323, 0.514, 0.013)
Rb (0.323, 0.986, 0.513)
Rb (0.346, 0.689, 0.659)
Rb (0.346, 0.811, 0.159)
Rb (0.654, 0.189, 0.841)
Rb (0.654, 0.311, 0.341)
Rb (0.677, 0.014, 0.487)
Rb (0.677, 0.486, 0.987)
Rb (0.709, 0.012, 0.203)
Rb (0.709, 0.488, 0.703)
Rb (0.975, 0.726, 0.246)
Rb (0.975, 0.774, 0.746)
W (0.252, 0.117, 0.083)
W (0.252, 0.383, 0.583)
W (0.748, 0.617, 0.417)
W (0.748, 0.883, 0.917)
S (0.089, 0.159, 0.553)
S (0.089, 0.341, 0.053)
S (0.118, 0.520, 0.696)
S (0.118, 0.980, 0.196)
S (0.479, 0.230, 0.018)
S (0.479, 0.270, 0.518)
S (0.521, 0.730, 0.482)
S (0.521, 0.770, 0.982)
S (0.882, 0.020, 0.804)
S (0.882, 0.480, 0.304)
S (0.911, 0.659, 0.947)
S (0.911, 0.841, 0.447)
O (0.006, 0.633, 0.076)
O (0.006, 0.867, 0.576)
O (0.015, 0.628, 0.910)
O (0.015, 0.872, 0.410)
O (0.019, 0.605, 0.614)
O (0.019, 0.895, 0.114)
O (0.031, 0.016, 0.242)
O (0.031, 0.484, 0.742)
O (0.095, 0.232, 0.062)
O (0.095, 0.268, 0.562)
O (0.096, 0.060, 0.114)
O (0.096, 0.440, 0.614)
O (0.280, 0.122, 0.640)
O (0.280, 0.378, 0.140)
O (0.308, 0.204, 0.007)
O (0.308, 0.296, 0.507)
O (0.310, 0.010, 0.054)
O (0.310, 0.490, 0.554)
O (0.313, 0.543, 0.794)
O (0.313, 0.957, 0.294)
O (0.355, 0.725, 0.351)
O (0.355, 0.775, 0.851)
O (0.434, 0.175, 0.464)
O (0.434, 0.325, 0.964)
O (0.451, 0.137, 0.236)
O (0.451, 0.363, 0.736)
O (0.477, 0.158, 0.944)
O (0.477, 0.342, 0.444)
O (0.523, 0.658, 0.556)
O (0.523, 0.842, 0.056)
O (0.549, 0.637, 0.264)
O (0.549, 0.863, 0.764)
O (0.566, 0.675, 0.036)
O (0.566, 0.825, 0.536)
O (0.645, 0.225, 0.149)
O (0.645, 0.275, 0.649)
O (0.687, 0.043, 0.706)
O (0.687, 0.457, 0.206)
O (0.690, 0.510, 0.446)
O (0.690, 0.990, 0.946)
O (0.692, 0.704, 0.493)
O (0.692, 0.796, 0.993)
O (0.720, 0.622, 0.860)
O (0.720, 0.878, 0.360)
O (0.904, 0.560, 0.386)
O (0.904, 0.940, 0.886)
O (0.905, 0.732, 0.438)
O (0.905, 0.768, 0.938)
O (0.969, 0.516, 0.258)
O (0.969, 0.984, 0.758)
O (0.981, 0.105, 0.886)
O (0.981, 0.395, 0.386)
O (0.985, 0.128, 0.590)
O (0.985, 0.372, 0.090)
O (0.994, 0.133, 0.424)
O (0.994, 0.367, 0.924)

Its space group is P2_1/c, No. 14. Its uncorrected energy is -14.249 eV/atom. The value obtained for the uncorrected formation energy is -2.033 eV per atom. The density of states at the Fermi level comes out at 0.00 states/eV per atom.

No. 2
VASP calculation (SCAN) on a crystal of Rb3SbO3 relaxed with PBEsol.

abc: 9.638 6.648 10.623
angles: 90.00 98.49 90.00
Sites, in units of the cell vectors:
Rb (0.039, 0.170, 0.189)
Rb (0.039, 0.330, 0.689)
Rb (0.324, 0.137, 0.946)
Rb (0.324, 0.363, 0.446)
Rb (0.432, 0.578, 0.813)
Rb (0.432, 0.922, 0.313)
Rb (0.568, 0.078, 0.687)
Rb (0.568, 0.422, 0.187)
Rb (0.676, 0.637, 0.554)
Rb (0.676, 0.863, 0.054)
Rb (0.961, 0.670, 0.311)
Rb (0.961, 0.830, 0.811)
Sb (0.216, 0.633, 0.067)
Sb (0.216, 0.867, 0.567)
Sb (0.784, 0.133, 0.433)
Sb (0.784, 0.367, 0.933)
O (0.172, 0.515, 0.898)
O (0.172, 0.985, 0.398)
O (0.268, 0.103, 0.673)
O (0.268, 0.397, 0.173)
O (0.403, 0.748, 0.057)
O (0.403, 0.752, 0.557)
O (0.597, 0.248, 0.443)
O (0.597, 0.252, 0.943)
O (0.732, 0.603, 0.827)
O (0.732, 0.897, 0.327)
O (0.828, 0.015, 0.602)
O (0.828, 0.485, 0.102)

Its space group is P2_1/c, No. 14. Its uncorrected energy is -18.484 eV/atom. The value obtained for the uncorrected formation energy is -1.602 eV per atom. The density of states at the Fermi level comes out at 0.00 states/eV per atom.

No. 3
VASP calculation (SCAN) on a crystal of Rb3Sb5O14 relaxed with PBEsol.

abc: 7.229 24.627 7.410
angles: 90.00 90.00 90.00
Sites, in units of the cell vectors:
Rb (0.106, 0.207, 0.000)
Rb (0.108, 0.114, 0.500)
Rb (0.228, 0.486, 0.500)
Rb (0.272, 0.986, 0.500)
Rb (0.392, 0.614, 0.500)
Rb (0.394, 0.707, 0.000)
Rb (0.606, 0.293, 0.000)
Rb (0.608, 0.386, 0.500)
Rb (0.728, 0.014, 0.500)
Rb (0.772, 0.514, 0.500)
Rb (0.892, 0.886, 0.500)
Rb (0.894, 0.793, 0.000)
Sb (0.083, 0.943, 0.000)
Sb (0.092, 0.562, 0.000)
Sb (0.111, 0.354, 0.264)
Sb (0.111, 0.354, 0.736)
Sb (0.171, 0.744, 0.500)
Sb (0.329, 0.244, 0.500)
Sb (0.389, 0.854, 0.264)
Sb (0.389, 0.854, 0.736)
Sb (0.408, 0.062, 0.000)
Sb (0.417, 0.443, 0.000)
Sb (0.583, 0.557, 0.000)
Sb (0.592, 0.938, 0.000)
Sb (0.611, 0.146, 0.264)
Sb (0.611, 0.146, 0.736)
Sb (0.671, 0.756, 0.500)
Sb (0.829, 0.256, 0.500)
Sb (0.889, 0.646, 0.264)
Sb (0.889, 0.646, 0.736)
Sb (0.908, 0.438, 0.000)
Sb (0.917, 0.057, 0.000)
O (0.000, 0.000, 0.179)
O (0.000, 0.000, 0.821)
O (0.029, 0.357, 0.000)
O (0.045, 0.575, 0.256)
O (0.045, 0.575, 0.744)
O (0.070, 0.219, 0.500)
O (0.118, 0.686, 0.315)
O (0.118, 0.686, 0.685)
O (0.160, 0.483, 0.000)
O (0.162, 0.093, 0.000)
O (0.162, 0.897, 0.197)
O (0.162, 0.897, 0.803)
O (0.183, 0.380, 0.500)
O (0.233, 0.789, 0.276)
O (0.233, 0.789, 0.724)
O (0.267, 0.289, 0.276)
O (0.267, 0.289, 0.724)
O (0.317, 0.880, 0.500)
O (0.338, 0.397, 0.197)
O (0.338, 0.397, 0.803)
O (0.338, 0.593, 0.000)
O (0.340, 0.983, 0.000)
O (0.382, 0.186, 0.315)
O (0.382, 0.186, 0.685)
O (0.430, 0.719, 0.500)
O (0.455, 0.075, 0.256)
O (0.455, 0.075, 0.744)
O (0.471, 0.857, 0.000)
O (0.500, 0.500, 0.179)
O (0.500, 0.500, 0.821)
O (0.529, 0.143, 0.000)
O (0.545, 0.925, 0.256)
O (0.545, 0.925, 0.744)
O (0.570, 0.281, 0.500)
O (0.618, 0.814, 0.315)
O (0.618, 0.814, 0.685)
O (0.660, 0.017, 0.000)
O (0.662, 0.407, 0.000)
O (0.662, 0.603, 0.197)
O (0.662, 0.603, 0.803)
O (0.683, 0.120, 0.500)
O (0.733, 0.711, 0.276)
O (0.733, 0.711, 0.724)
O (0.767, 0.211, 0.276)
O (0.767, 0.211, 0.724)
O (0.817, 0.620, 0.500)
O (0.838, 0.103, 0.197)
O (0.838, 0.103, 0.803)
O (0.838, 0.907, 0.000)
O (0.840, 0.517, 0.000)
O (0.882, 0.314, 0.315)
O (0.882, 0.314, 0.685)
O (0.930, 0.781, 0.500)
O (0.955, 0.425, 0.256)
O (0.955, 0.425, 0.744)
O (0.971, 0.643, 0.000)

Its space group is Pbam, No. 55. Its uncorrected energy is -16.951 eV/atom. The value obtained for the uncorrected formation energy is -1.690 eV per atom. The density of states at the Fermi level comes out at 0.00 states/eV per atom.

No. 4
VASP calculation (SCAN) on a crystal of Rb3SbO3 relaxed with PBEsol.

abc: 6.736 6.736 7.647
angles: 95.68 95.68 107.42
Sites, in units of the cell vectors:
Rb (0.192, 0.808, 0.000)
Rb (0.207, 0.793, 0.500)
Rb (0.316, 0.316, 0.851)
Rb (0.684, 0.684, 0.149)
Rb (0.793, 0.207, 0.500)
Rb (0.808, 0.192, 0.000)
Sb (0.283, 0.283, 0.332)
Sb (0.717, 0.717, 0.668)
O (0.035, 0.035, 0.259)
O (0.215, 0.490, 0.196)
O (0.490, 0.215, 0.196)
O (0.510, 0.785, 0.804)
O (0.785, 0.510, 0.804)
O (0.965, 0.965, 0.741)

Its space group is C2/m, No. 12. Its uncorrected energy is -18.500 eV/atom. The value obtained for the uncorrected formation energy is -1.618 eV per atom. The density of states at the Fermi level comes out at 0.00 states/eV per atom.

No. 5
VASP calculation (SCAN) on a crystal of Rb4Sb2O5 relaxed with PBEsol.

abc: 19.009 6.548 8.116
angles: 90.00 90.00 90.00
Sites, in units of the cell vectors:
Rb (0.012, 0.250, 0.125)
Rb (0.013, 0.250, 0.625)
Rb (0.156, 0.750, 0.125)
Rb (0.157, 0.750, 0.625)
Rb (0.343, 0.250, 0.125)
Rb (0.344, 0.250, 0.625)
Rb (0.487, 0.750, 0.125)
Rb (0.488, 0.750, 0.625)
Rb (0.512, 0.250, 0.375)
Rb (0.513, 0.250, 0.875)
Rb (0.656, 0.750, 0.375)
Rb (0.657, 0.750, 0.875)
Rb (0.843, 0.250, 0.375)
Rb (0.844, 0.250, 0.875)
Rb (0.987, 0.750, 0.375)
Rb (0.988, 0.750, 0.875)
Sb (0.165, 0.250, 0.382)
Sb (0.165, 0.250, 0.868)
Sb (0.335, 0.750, 0.368)
Sb (0.335, 0.750, 0.882)
Sb (0.665, 0.250, 0.118)
Sb (0.665, 0.250, 0.632)
Sb (0.835, 0.750, 0.132)
Sb (0.835, 0.750, 0.618)
O (0.099, 0.026, 0.376)
O (0.099, 0.026, 0.874)
O (0.099, 0.474, 0.376)
O (0.099, 0.474, 0.874)
O (0.192, 0.250, 0.625)
O (0.308, 0.750, 0.125)
O (0.401, 0.526, 0.374)
O (0.401, 0.526, 0.876)
O (0.401, 0.974, 0.374)
O (0.401, 0.974, 0.876)
O (0.599, 0.026, 0.124)
O (0.599, 0.026, 0.626)
O (0.599, 0.474, 0.124)
O (0.599, 0.474, 0.626)
O (0.692, 0.250, 0.875)
O (0.808, 0.750, 0.375)
O (0.901, 0.526, 0.126)
O (0.901, 0.526, 0.624)
O (0.901, 0.974, 0.126)
O (0.901, 0.974, 0.624)

Its space group is Pnma, No. 62. Its uncorrected energy is -18.803 eV/atom. The value obtained for the uncorrected formation energy is -1.654 eV per atom. The density of states at the Fermi level comes out at 0.00 states/eV per atom.

No. 6
VASP calculation (SCAN) on a crystal of Rb12Sn2Sb6O relaxed with PBEsol.

abc: 12.277 12.277 6.227
angles: 90.00 90.00 120.00
Sites, in units of the cell vectors:
Rb (0.090, 0.545, 0.250)
Rb (0.112, 0.223, 0.276)
Rb (0.112, 0.888, 0.276)
Rb (0.223, 0.112, 0.724)
Rb (0.455, 0.545, 0.250)
Rb (0.455, 0.910, 0.250)
Rb (0.545, 0.090, 0.750)
Rb (0.545, 0.455, 0.750)
Rb (0.777, 0.888, 0.276)
Rb (0.888, 0.112, 0.724)
Rb (0.888, 0.777, 0.724)
Rb (0.910, 0.455, 0.750)
Sn (0.333, 0.667, 0.753)
Sn (0.667, 0.333, 0.247)
Sb (0.205, 0.411, 0.761)
Sb (0.205, 0.795, 0.761)
Sb (0.411, 0.205, 0.239)
Sb (0.589, 0.795, 0.761)
Sb (0.795, 0.205, 0.239)
Sb (0.795, 0.589, 0.239)
O (0.000, 0.000, 0.500)

Its space group is P-3m1, No. 164. Its uncorrected energy is -26.804 eV/atom. The value obtained for the uncorrected formation energy is -0.590 eV per atom.

No. 7
VASP calculation (SCAN) on a crystal of RbV2SbO8 relaxed with PBEsol.

abc: 14.894 5.570 8.741
angles: 90.00 90.00 90.00
Sites, in units of the cell vectors:
Rb (0.113, 0.250, 0.054)
Rb (0.387, 0.750, 0.554)
Rb (0.613, 0.250, 0.446)
Rb (0.887, 0.750, 0.946)
V (0.023, 0.750, 0.295)
V (0.217, 0.250, 0.485)
V (0.283, 0.750, 0.985)
V (0.477, 0.250, 0.795)
V (0.523, 0.750, 0.205)
V (0.717, 0.250, 0.015)
V (0.783, 0.750, 0.515)
V (0.977, 0.250, 0.705)
Sb (0.124, 0.750, 0.675)
Sb (0.376, 0.250, 0.175)
Sb (0.624, 0.750, 0.825)
Sb (0.876, 0.250, 0.325)
O (0.042, 0.502, 0.760)
O (0.042, 0.998, 0.760)
O (0.053, 0.750, 0.484)
O (0.109, 0.750, 0.182)
O (0.132, 0.250, 0.372)
O (0.183, 0.750, 0.878)
O (0.210, 0.508, 0.600)
O (0.210, 0.992, 0.600)
O (0.290, 0.008, 0.100)
O (0.290, 0.492, 0.100)
O (0.317, 0.250, 0.378)
O (0.368, 0.750, 0.872)
O (0.391, 0.250, 0.682)
O (0.447, 0.250, 0.984)
O (0.458, 0.002, 0.260)
O (0.458, 0.498, 0.260)
O (0.542, 0.502, 0.740)
O (0.542, 0.998, 0.740)
O (0.553, 0.750, 0.016)
O (0.609, 0.750, 0.318)
O (0.632, 0.250, 0.128)
O (0.683, 0.750, 0.622)
O (0.710, 0.508, 0.900)
O (0.710, 0.992, 0.900)
O (0.790, 0.008, 0.400)
O (0.790, 0.492, 0.400)
O (0.817, 0.250, 0.122)
O (0.868, 0.750, 0.628)
O (0.891, 0.250, 0.818)
O (0.947, 0.250, 0.516)
O (0.958, 0.002, 0.240)
O (0.958, 0.498, 0.240)

Its space group is Pnma, No. 62. Its uncorrected energy is -14.161 eV/atom. The value obtained for the uncorrected formation energy is -2.259 eV per atom. The density of states at the Fermi level comes out at 0.00 states/eV per atom.

No. 8
VASP calculation (SCAN) on a crystal of Rb2Se2O7 relaxed with PBEsol.

abc: 7.680 7.680 7.787
angles: 92.77 92.77 60.99
Sites, in units of the cell vectors:
Rb (0.002, 0.707, 0.641)
Rb (0.293, 0.998, 0.859)
Rb (0.707, 0.002, 0.141)
Rb (0.998, 0.293, 0.359)
Se (0.217, 0.574, 0.136)
Se (0.426, 0.783, 0.364)
Se (0.574, 0.217, 0.636)
Se (0.783, 0.426, 0.864)
O (0.044, 0.639, 0.278)
O (0.147, 0.742, 0.987)
O (0.258, 0.853, 0.513)
O (0.312, 0.343, 0.067)
O (0.343, 0.312, 0.567)
O (0.361, 0.956, 0.222)
O (0.434, 0.566, 0.250)
O (0.566, 0.434, 0.750)
O (0.639, 0.044, 0.778)
O (0.657, 0.688, 0.433)
O (0.688, 0.657, 0.933)
O (0.742, 0.147, 0.487)
O (0.853, 0.258, 0.013)
O (0.956, 0.361, 0.722)

Its space group is C2/c, No. 15. Its uncorrected energy is -12.624 eV/atom. The value obtained for the uncorrected formation energy is -1.238 eV per atom. The density of states at the Fermi level comes out at 0.00 states/eV per atom.

No. 9
VASP calculation (SCAN) on a crystal of Rb3Se2O8 relaxed with PBEsol.

abc: 8.153 8.153 8.153
angles: 43.46 43.46 43.46
Sites, in units of the cell vectors:
Rb (0.000, 0.000, 0.000)
Rb (0.204, 0.204, 0.204)
Rb (0.796, 0.796, 0.796)
Se (0.409, 0.409, 0.409)
Se (0.591, 0.591, 0.591)
O (0.265, 0.718, 0.718)
O (0.282, 0.282, 0.735)
O (0.282, 0.735, 0.282)
O (0.333, 0.333, 0.333)
O (0.667, 0.667, 0.667)
O (0.718, 0.265, 0.718)
O (0.718, 0.718, 0.265)
O (0.735, 0.282, 0.282)

Its space group is R-3m, No. 166. Its uncorrected energy is -13.008 eV/atom. The value obtained for the uncorrected formation energy is -1.298 eV per atom. The density of states at the Fermi level comes out at 1.04 states/eV per atom.

No. 10
VASP calculation (SCAN) on a crystal of Rb2SeO4 relaxed with PBEsol.

abc: 8.367 6.181 6.181
angles: 118.16 90.00 90.00
Sites, in units of the cell vectors:
Rb (0.000, 0.000, 0.000)
Rb (0.250, 0.680, 0.300)
Rb (0.500, 0.000, 0.000)
Rb (0.750, 0.300, 0.680)
Se (0.250, 0.359, 0.661)
Se (0.750, 0.661, 0.359)
O (0.088, 0.286, 0.770)
O (0.250, 0.211, 0.354)
O (0.250, 0.661, 0.757)
O (0.412, 0.286, 0.770)
O (0.588, 0.770, 0.286)
O (0.750, 0.354, 0.211)
O (0.750, 0.757, 0.661)
O (0.912, 0.770, 0.286)

Its space group is Ama2, No. 40. Its uncorrected energy is -13.905 eV/atom. The value obtained for the uncorrected formation energy is -1.550 eV per atom. The density of states at the Fermi level comes out at 0.00 states/eV per atom.